1.
A plane-wave DFT calculation with PBE-GGA was carried out for crystalline SrScNiI2 at its relaxed geometry.

The space group is P4/mmm (No. 123) and the conventional cell measures 6.077, 6.077 and 7.700 Å, with angles of 90.00, 90.00 and 90.00 degrees. The distinct sites, in fractional coordinates, are Sr at (0.000, 0.000, 0.000), Sc at (0.000, 0.000, 0.500), Ni at (0.500, 0.500, 0.500) and I at (0.000, 0.500, 0.000).

The uncorrected formation energy comes out at 0.67 eV/atom. As for the density of states at the Fermi level: 10.59 states/eV/f.u.

***

2.
A plane-wave DFT calculation with PBE-GGA was carried out for crystalline ScZnNi2I at its relaxed geometry.

The space group is P4/mmm (No. 123) and the conventional cell measures 4.679, 4.679 and 5.353 Å, with angles of 90.00, 90.00 and 90.00 degrees. The distinct sites, in fractional coordinates, are Sc at (0.000, 0.000, 0.000), Zn at (0.000, 0.000, 0.500), Ni at (0.000, 0.500, 0.000) and I at (0.500, 0.500, 0.500).

The uncorrected formation energy comes out at 0.89 eV/atom. As for the density of states at the Fermi level: 1.43 states/eV/f.u.

***

In Å³/cell, the calculated volume values for the records above are, in order, 284.3 117.2.
In eV/cell, the final energy values for the records above are, in order, -13.521 -16.254.